# Sn2PSe | Alexandria via LeMat-Bulk | GGA-PBE | relaxed
# Uncorrected energy in eV/atom: -4.10
# Excess energy over the best structure of this formula in the dataset in eV per atom: 0.304
# Formation energy without anion corrections in eV per formula unit: 0.5
# Calculated volume in Å³/cell: 357.3
data_Sn2PSe
_cell_length_a 7.096
_cell_length_b 7.096
_cell_length_c 7.096
_cell_angle_alpha 90.00
_cell_angle_beta 90.00
_cell_angle_gamma 90.00
_space_group_name_H-M_alt 'F m -3 m'
_space_group_IT_number 225
_space_group_name_Hall '-F 4 2 3'
loop_
_atom_site_label
_atom_site_fract_x
_atom_site_fract_y
_atom_site_fract_z
Sn1 0.250 0.250 0.250
P1 0.000 0.000 0.000
Se1 0.000 0.000 0.500